Record 1
Material: GdHoV4
Method: DFT, PBE-GGA
State: relaxed

**SG**: No. 216
**Uncorrected energy**: -8.8230 eV/atom
**Total magnetic moment**: 8.4 Bohr magnetons per cell
**DOS at the Fermi energy**: 12.599 states/eV/cell

a b c (Å): 5.391 5.391 5.391
angles (deg): 60.00 60.00 60.00
Last column: magnetic moment on the atom in μB.
Fractional coordinates of all 6 atoms:
V (0.620, 0.620, 0.140)  0.14
Gd (0.000, 0.000, 0.000)  7.22
Ho (0.250, 0.250, 0.250)  0.11
V (0.620, 0.140, 0.620)  0.14
V (0.620, 0.620, 0.620)  0.14
V (0.140, 0.620, 0.620)  0.14


Record 2
Material: GdYHo4
Method: DFT, PBE-GGA
State: relaxed

**SG**: No. 216
**Uncorrected energy**: -6.2435 eV/atom
**Total magnetic moment**: 8.5 Bohr magnetons per cell
**DOS at the Fermi energy**: 11.221 states/eV/cell

a b c (Å): 6.558 6.558 6.558
angles (deg): 60.00 60.00 60.00
Last column: magnetic moment on the atom in μB.
Fractional coordinates of all 6 atoms:
Y (0.000, 0.000, 0.000)  -0.02
Ho (0.625, 0.124, 0.625)  0.07
Ho (0.124, 0.625, 0.625)  0.07
Ho (0.625, 0.625, 0.625)  0.07
Gd (0.250, 0.250, 0.250)  7.41
Ho (0.625, 0.625, 0.124)  0.07


Record 3
Material: GdHo2Zn
Method: DFT, PBE-GGA
State: relaxed

**E above lowest polymorph**: 98.2 meV per atom
**SG**: No. 166
**Uncorrected energy**: -6.1874 eV/atom
**Total magnetic moment**: 7.2 Bohr magnetons per cell
**DOS at the Fermi energy**: 4.248 states/eV/cell

a b c (Å): 3.552 3.552 10.512
angles (deg): 80.27 80.27 60.00
Last column: magnetic moment on the atom in μB.
Fractional coordinates of all 4 atoms:
Gd (0.500, 0.500, 0.500)  7.14
Ho (0.739, 0.739, 0.784)  -0.04
Zn (0.000, 0.000, 0.000)  -0.01
Ho (0.261, 0.261, 0.216)  -0.04


Record 4
Material: GdHo2Zn
Method: DFT, PBE-GGA
State: relaxed

**E above lowest polymorph**: 172.2 meV per atom
**SG**: No. 123
**Uncorrected energy**: -6.1133 eV/atom
**Total magnetic moment**: 7.2 Bohr magnetons per cell
**DOS at the Fermi energy**: 5.394 states/eV/cell

a b c (Å): 3.832 5.276 5.276
angles (deg): 90.00 90.00 90.00
Last column: magnetic moment on the atom in μB.
Fractional coordinates of all 4 atoms:
Gd (0.500, 0.500, 0.500)  7.12
Ho (0.000, 0.500, 0.000)  0.00
Zn (0.500, 0.000, 0.000)  -0.01
Ho (0.000, 0.000, 0.500)  0.00


Record 5
Material: GdHo2Zn
Method: DFT, PBE-GGA
State: relaxed

**E above lowest polymorph**: 0.0 meV per atom
**SG**: No. 123
**Uncorrected energy**: -6.2855 eV/atom
**Total magnetic moment**: 7.4 Bohr magnetons per cell
**DOS at the Fermi energy**: 4.832 states/eV/cell

a b c (Å): 3.551 3.551 8.631
angles (deg): 90.00 90.00 90.00
Last column: magnetic moment on the atom in μB.
Fractional coordinates of all 4 atoms:
Zn (0.500, 0.500, 0.000)  0.01
Ho (0.000, 0.000, 0.204)  0.02
Gd (0.500, 0.500, 0.500)  -7.20
Ho (0.000, 0.000, 0.796)  0.02


Record 6
Material: GdHoZn
Method: DFT, PBE-GGA
State: relaxed

**E above lowest polymorph**: 165.6 meV per atom
**SG**: No. 156
**Uncorrected energy**: -6.6968 eV/atom
**Total magnetic moment**: 7.3 Bohr magnetons per cell
**DOS at the Fermi energy**: 3.433 states/eV/cell

a b c (Å): 3.650 4.995 4.995
angles (deg): 120.00 90.00 90.00
Last column: magnetic moment on the atom in μB.
Fractional coordinates of all 3 atoms:
Zn (0.303, 0.333, 0.667)  -0.01
Gd (0.618, 0.667, 0.333)  7.11
Ho (0.078, 0.000, 0.000)  0.05


Record 7
Material: GdHoZn
Method: DFT, PBE-GGA
State: relaxed

**E above lowest polymorph**: 0.0 meV per atom
**SG**: No. 107
**Uncorrected energy**: -6.8624 eV/atom
**Total magnetic moment**: 7.9 Bohr magnetons per cell
**DOS at the Fermi energy**: 3.244 states/eV/cell

a b c (Å): 3.581 3.581 6.610
angles (deg): 105.72 105.72 90.00
Last column: magnetic moment on the atom in μB.
Fractional coordinates of all 3 atoms:
Gd (0.019, 0.019, 0.038)  -7.26
Ho (0.310, 0.310, 0.620)  -0.19
Zn (0.671, 0.671, 0.341)  0.01


Record 8
Material: GdHo2Zr
Method: DFT, PBE-GGA
State: relaxed

**E above lowest polymorph**: 0.0 meV per atom
**SG**: No. 123
**Uncorrected energy**: -7.8592 eV/atom
**Total magnetic moment**: 6.9 Bohr magnetons per cell
**DOS at the Fermi energy**: 5.110 states/eV/cell

a b c (Å): 4.859 4.853 4.853
angles (deg): 90.00 90.00 90.00
Last column: magnetic moment on the atom in μB.
Fractional coordinates of all 4 atoms:
Gd (0.500, 0.500, 0.500)  7.11
Zr (0.500, 0.000, 0.000)  -0.12
Ho (0.000, 0.500, 0.000)  -0.06
Ho (0.000, 0.000, 0.500)  -0.06


Record 9
Material: GdHoZr2
Method: DFT, PBE-GGA
State: relaxed

**SG**: No. 123
**Uncorrected energy**: -8.8164 eV/atom
**Total magnetic moment**: 7.1 Bohr magnetons per cell
**DOS at the Fermi energy**: 4.994 states/eV/cell

a b c (Å): 4.822 4.693 4.693
angles (deg): 90.00 90.00 90.00
Last column: magnetic moment on the atom in μB.
Fractional coordinates of all 4 atoms:
Gd (0.500, 0.500, 0.500)  7.11
Zr (0.000, 0.000, 0.500)  -0.05
Ho (0.500, 0.000, 0.000)  -0.01
Zr (0.000, 0.500, 0.000)  -0.05


Record 10
Material: GdHo2Zr
Method: DFT, PBE-GGA
State: relaxed

**E above lowest polymorph**: 120.5 meV per atom
**SG**: No. 225
**Uncorrected energy**: -7.7386 eV/atom
**Total magnetic moment**: 5.2 Bohr magnetons per cell
**DOS at the Fermi energy**: 9.183 states/eV/cell

a b c (Å): 5.476 5.476 5.476
angles (deg): 60.00 60.00 60.00
Last column: magnetic moment on the atom in μB.
Fractional coordinates of all 4 atoms:
Zr (0.500, 0.500, 0.500)  -0.84
Ho (0.750, 0.750, 0.750)  -0.27
Gd (0.000, 0.000, 0.000)  7.06
Ho (0.250, 0.250, 0.250)  -0.27


Record 11
Material: GdHo2Zr
Method: DFT, PBE-GGA
State: relaxed

**E above lowest polymorph**: 214.5 meV per atom
**SG**: No. 166
**Uncorrected energy**: -7.6446 eV/atom
**Total magnetic moment**: 7.1 Bohr magnetons per cell
**DOS at the Fermi energy**: 5.845 states/eV/cell

a b c (Å): 3.350 3.350 12.111
angles (deg): 82.05 82.05 60.00
Last column: magnetic moment on the atom in μB.
Fractional coordinates of all 4 atoms:
Zr (0.000, 0.000, 0.000)  0.02
Ho (0.914, 0.914, 0.259)  0.07
Ho (0.086, 0.086, 0.741)  0.07
Gd (0.500, 0.500, 0.500)  -7.14


Record 12
Material: GdHo2Zr
Method: DFT, PBE-GGA
State: relaxed

**E above lowest polymorph**: 72.8 meV per atom
**SG**: No. 123
**Uncorrected energy**: -7.7864 eV/atom
**Total magnetic moment**: 6.8 Bohr magnetons per cell
**DOS at the Fermi energy**: 8.449 states/eV/cell

a b c (Å): 3.982 3.982 7.365
angles (deg): 90.00 90.00 90.00
Last column: magnetic moment on the atom in μB.
Fractional coordinates of all 4 atoms:
Zr (0.500, 0.500, 0.500)  -0.35
Gd (0.500, 0.500, 0.000)  7.20
Ho (0.000, 0.000, 0.277)  -0.09
Ho (0.000, 0.000, 0.723)  -0.09